DFT (GGA-PBE) results for Co2TcTe after structural relaxation.

Output
Uncorrected formation energy ... 2.41 eV per formula unit
Total magnetic moment ... 3.66 μB per formula unit
Calculated density ... 9.15 Mg/m³

Structure (CIF):
```
data_Co2TcTe
_chemical_formula_sum 'Co6 Tc3 Te3'
_cell_length_a 3.0736
_cell_length_b 3.0736
_cell_length_c 22.8677
_cell_angle_alpha 90.00
_cell_angle_beta 90.00
_cell_angle_gamma 120.00
_symmetry_space_group_name_H-M 'R 3 m'
_symmetry_Int_Tables_number 160
_symmetry_space_group_name_Hall 'R 3 -2"'
loop_
_atom_site_label
_atom_site_type_symbol
_atom_site_fract_x
_atom_site_fract_y
_atom_site_fract_z
Co1 Co 0.0000 0.0000 0.0000
Co2 Co 0.0000 0.0000 0.2641
Tc1 Tc 0.0000 0.0000 0.5150
Te1 Te 0.0000 0.0000 0.7578
```



DFT (GGA-PBE) results for Sm2PaBr after structural relaxation.

Output
Uncorrected formation energy ... -0.62 eV per formula unit
Total magnetic moment ... 0.00 μB per formula unit
Calculated density ... 9.03 Mg/m³

Structure (CIF):
```
data_Sm2PaBr
_chemical_formula_sum 'Sm6 Pa3 Br3'
_cell_length_a 3.3680
_cell_length_b 3.3680
_cell_length_c 34.3326
_cell_angle_alpha 90.00
_cell_angle_beta 90.00
_cell_angle_gamma 120.00
_symmetry_space_group_name_H-M 'R -3 m'
_symmetry_Int_Tables_number 166
_symmetry_space_group_name_Hall '-R 3 2"'
loop_
_atom_site_label
_atom_site_type_symbol
_atom_site_fract_x
_atom_site_fract_y
_atom_site_fract_z
Sm1 Sm 0.0000 0.0000 0.0957
Pa1 Pa 0.0000 0.0000 0.0000
Br1 Br 0.0000 0.0000 0.5000
```



DFT (GGA-PBE) results for TaNbCoS2 after structural relaxation.

Output
Uncorrected formation energy ... 3.15 eV per formula unit
Total magnetic moment ... 2.06 μB per formula unit
Calculated density ... 6.60 Mg/m³

Structure (CIF):
```
data_TaNbCoS2
_chemical_formula_sum 'Ta1 Nb1 Co1 S2'
_cell_length_a 4.665
_cell_length_b 4.665
_cell_length_c 4.589
_cell_angle_alpha 90.00
_cell_angle_beta 90.00
_cell_angle_gamma 90.00
_symmetry_space_group_name_H-M 'P 4/m m m'
_symmetry_Int_Tables_number 123
_symmetry_space_group_name_Hall '-P 4 2'
loop_
_atom_site_label
_atom_site_type_symbol
_atom_site_fract_x
_atom_site_fract_y
_atom_site_fract_z
Ta1 Ta 0.000 0.000 0.000
Nb1 Nb 0.500 0.500 0.500
Co1 Co 0.000 0.000 0.500
S1 S 0.000 0.500 0.000
```



DFT (GGA-PBE) results for NaMn3I after structural relaxation.

Output
Uncorrected formation energy ... 7.57 eV per formula unit
Total magnetic moment ... 13.70 μB per formula unit
Calculated density ... 3.60 Mg/m³

Structure (CIF):
```
data_NaMn3I
_chemical_formula_sum 'Na1 Mn3 I1'
_cell_length_a 5.255
_cell_length_b 5.255
_cell_length_c 5.255
_cell_angle_alpha 90.00
_cell_angle_beta 90.00
_cell_angle_gamma 90.00
_symmetry_space_group_name_H-M 'P m -3 m'
_symmetry_Int_Tables_number 221
_symmetry_space_group_name_Hall '-P 4 2 3'
loop_
_atom_site_label
_atom_site_type_symbol
_atom_site_fract_x
_atom_site_fract_y
_atom_site_fract_z
Na1 Na 0.000 0.000 0.000
Mn1 Mn 0.000 0.000 0.500
I1 I 0.500 0.500 0.500
```



DFT (GGA-PBE) results for SnBiMoS2 after structural relaxation.

Output
Uncorrected formation energy ... 0.30 eV per formula unit
Total magnetic moment ... 0.00 μB per formula unit
Calculated density ... 6.48 Mg/m³

Structure (CIF):
```
data_SnBiMoS2
_chemical_formula_sum 'Sn1 Bi1 Mo1 S2'
_cell_length_a 4.629
_cell_length_b 4.629
_cell_length_c 5.835
_cell_angle_alpha 90.00
_cell_angle_beta 90.00
_cell_angle_gamma 90.00
_symmetry_space_group_name_H-M 'P 4/m m m'
_symmetry_Int_Tables_number 123
_symmetry_space_group_name_Hall '-P 4 2'
loop_
_atom_site_label
_atom_site_type_symbol
_atom_site_fract_x
_atom_site_fract_y
_atom_site_fract_z
Sn1 Sn 0.000 0.000 0.000
Bi1 Bi 0.500 0.500 0.000
Mo1 Mo 0.500 0.500 0.500
S1 S 0.000 0.500 0.500
```



DFT (GGA-PBE) results for CoSiP after structural relaxation.

Output
Uncorrected formation energy ... 0.42 eV per formula unit
Total magnetic moment ... 0.59 μB per formula unit
Calculated density ... 5.00 Mg/m³

Structure (CIF):
```
data_CoSiP
_chemical_formula_sum 'Co1 Si1 P1'
_cell_length_a 3.7753
_cell_length_b 3.7753
_cell_length_c 3.1762
_cell_angle_alpha 90.00
_cell_angle_beta 90.00
_cell_angle_gamma 120.00
_symmetry_space_group_name_H-M 'P -6 m 2'
_symmetry_Int_Tables_number 187
_symmetry_space_group_name_Hall 'P -6 2'
loop_
_atom_site_label
_atom_site_type_symbol
_atom_site_fract_x
_atom_site_fract_y
_atom_site_fract_z
Co1 Co 0.0000 0.0000 0.0000
Si1 Si 0.3333 0.6667 0.5000
P1 P 0.6667 0.3333 0.0000
```



DFT (GGA-PBE) results for LiSbRu2N after structural relaxation.

Output
Uncorrected formation energy ... -0.19 eV per formula unit
Total magnetic moment ... 0.00 μB per formula unit
Calculated density ... 8.50 Mg/m³

Structure (CIF):
```
data_LiSbRu2N
_chemical_formula_sum 'Li1 Sb1 Ru2 N1'
_cell_length_a 4.078
_cell_length_b 4.078
_cell_length_c 4.052
_cell_angle_alpha 90.00
_cell_angle_beta 90.00
_cell_angle_gamma 90.00
_symmetry_space_group_name_H-M 'P 4/m m m'
_symmetry_Int_Tables_number 123
_symmetry_space_group_name_Hall '-P 4 2'
loop_
_atom_site_label
_atom_site_type_symbol
_atom_site_fract_x
_atom_site_fract_y
_atom_site_fract_z
Li1 Li 0.000 0.000 0.000
Sb1 Sb 0.500 0.500 0.000
Ru1 Ru 0.000 0.500 0.500
N1 N 0.000 0.000 0.500
```



DFT (GGA-PBE) results for Th2GaCo4P3 after structural relaxation.

Output
ΔH_f (0 K) ... -917 meV/atom
Total magnetic moment ... 1.29 μB per formula unit
Calculated density ... 9.45 Mg/m³

Structure (CIF):
```
data_Th2GaCo4P3
_chemical_formula_sum 'Th2 Ga1 Co4 P3'
_cell_length_a 4.006
_cell_length_b 4.006
_cell_length_c 9.449
_cell_angle_alpha 90.00
_cell_angle_beta 90.00
_cell_angle_gamma 90.00
_symmetry_space_group_name_H-M 'P -4 m 2'
_symmetry_Int_Tables_number 115
_symmetry_space_group_name_Hall 'P -4 -2'
loop_
_atom_site_label
_atom_site_type_symbol
_atom_site_fract_x
_atom_site_fract_y
_atom_site_fract_z
Th1 Th 0.000 0.500 0.244
Ga1 Ga 0.000 0.000 0.500
Co1 Co 0.000 0.000 0.000
Co2 Co 0.000 0.500 0.631
Co3 Co 0.500 0.500 0.000
P1 P 0.000 0.500 0.872
P2 P 0.500 0.500 0.500
```